No. 1
Here is PaCo3H after structural relaxation from the Alexandria database. Energies are from PBE-GGA.

Output
- Total DFT energy (no corrections): -0.52416 Ry/atom

```
data_PaCo3H
_cell_length_a 3.8366
_cell_length_b 3.8366
_cell_length_c 3.8366
_cell_angle_alpha 90.00
_cell_angle_beta 90.00
_cell_angle_gamma 90.00
_symmetry_space_group_name_H-M 'P m -3 m'
_symmetry_Int_Tables_number 221
_symmetry_space_group_name_Hall '-P 4 2 3'
loop_
_atom_site_label
_atom_site_type_symbol
_atom_site_fract_x
_atom_site_fract_y
_atom_site_fract_z
Pa1 Pa 0.0000 0.0000 0.0000
Co1 Co 0.0000 0.5000 0.5000
H1 H 0.5000 0.5000 0.5000
```

No. 2
Here is Sr3Au after structural relaxation from the Alexandria database. Energies are from PBE-GGA.

Output
- Formation energy: -1.14 eV per formula unit
- Total DFT energy (no corrections): -0.17397 Ry/atom

```
data_Sr3Au
_cell_length_a 4.1320
_cell_length_b 4.1465
_cell_length_c 10.6126
_cell_angle_alpha 90.00
_cell_angle_beta 90.00
_cell_angle_gamma 90.00
_symmetry_space_group_name_H-M 'P m m 2'
_symmetry_Int_Tables_number 25
_symmetry_space_group_name_Hall 'P 2 -2'
loop_
_atom_site_label
_atom_site_type_symbol
_atom_site_fract_x
_atom_site_fract_y
_atom_site_fract_z
Sr1 Sr 0.0000 0.0000 0.0000
Sr2 Sr 0.0000 0.5000 0.3457
Sr3 Sr 0.5000 0.5000 0.6977
Au1 Au 0.5000 0.0000 0.2247
```

No. 3
Here is AcPr2In2Ag2 after structural relaxation from the Alexandria database. Energies are from PBE-GGA.

Output
- Formation energy: -2.27 eV per formula unit
- Total DFT energy (no corrections): -0.28470 Ry/atom

```
data_AcPr2In2Ag2
_cell_length_a 4.9711
_cell_length_b 4.9711
_cell_length_c 28.9337
_cell_angle_alpha 90.00
_cell_angle_beta 90.00
_cell_angle_gamma 120.00
_symmetry_space_group_name_H-M 'R -3 m'
_symmetry_Int_Tables_number 166
_symmetry_space_group_name_Hall '-R 3 2"'
loop_
_atom_site_label
_atom_site_type_symbol
_atom_site_fract_x
_atom_site_fract_y
_atom_site_fract_z
Ac1 Ac 0.0000 0.0000 0.0000
Pr1 Pr 0.0000 0.0000 0.1280
In1 In 0.0000 0.0000 0.2559
Ag1 Ag 0.0000 0.0000 0.4063
```

No. 4
Here is LaGaSn2Ir after structural relaxation from the Alexandria database. Energies are from PBE-GGA.

Output
- Formation energy: -1.12 eV per formula unit
- Total DFT energy (no corrections): -0.38134 Ry/atom

```
data_LaGaSn2Ir
_cell_length_a 5.2099
_cell_length_b 5.2099
_cell_length_c 5.3909
_cell_angle_alpha 90.00
_cell_angle_beta 90.00
_cell_angle_gamma 90.00
_symmetry_space_group_name_H-M 'P 4/m m m'
_symmetry_Int_Tables_number 123
_symmetry_space_group_name_Hall '-P 4 2'
loop_
_atom_site_label
_atom_site_type_symbol
_atom_site_fract_x
_atom_site_fract_y
_atom_site_fract_z
La1 La 0.0000 0.0000 0.0000
Ga1 Ga 0.5000 0.5000 0.0000
Sn1 Sn 0.0000 0.5000 0.5000
Ir1 Ir 0.0000 0.0000 0.5000
```

No. 5
Here is LiCdRu2 after structural relaxation from the Alexandria database. Energies are from PBE-GGA.

Output
- Formation energy: 0.41 eV per formula unit
- Total DFT energy (no corrections): -0.38539 Ry/atom

```
data_LiCdRu2
_cell_length_a 2.8114
_cell_length_b 3.7182
_cell_length_c 5.8460
_cell_angle_alpha 90.00
_cell_angle_beta 90.00
_cell_angle_gamma 90.00
_symmetry_space_group_name_H-M 'P m m 2'
_symmetry_Int_Tables_number 25
_symmetry_space_group_name_Hall 'P 2 -2'
loop_
_atom_site_label
_atom_site_type_symbol
_atom_site_fract_x
_atom_site_fract_y
_atom_site_fract_z
Li1 Li 0.0000 0.0000 0.0000
Cd1 Cd 0.5000 0.5000 0.7598
Ru1 Ru 0.0000 0.0000 0.4492
Ru2 Ru 0.5000 0.5000 0.2635
```

No. 6
Here is GeB3O after structural relaxation from the Alexandria database. Energies are from PBE-GGA.

Output
- Formation energy (no corrections): 2.1472 eV/atom
- Total DFT energy (no corrections): -0.27741 Ry/atom
- Relative energy among the computed polymorphs: 483.2 meV per atom

```
data_GeB3O
_cell_length_a 4.0829
_cell_length_b 4.0829
_cell_length_c 4.0829
_cell_angle_alpha 90.00
_cell_angle_beta 90.00
_cell_angle_gamma 90.00
_symmetry_space_group_name_H-M 'P m -3 m'
_symmetry_Int_Tables_number 221
_symmetry_space_group_name_Hall '-P 4 2 3'
loop_
_atom_site_label
_atom_site_type_symbol
_atom_site_fract_x
_atom_site_fract_y
_atom_site_fract_z
Ge1 Ge 0.0000 0.0000 0.0000
B1 B 0.0000 0.0000 0.5000
O1 O 0.5000 0.5000 0.5000
```

No. 7
Here is Pa2TaIr5Ru after structural relaxation from the Alexandria database. Energies are from PBE-GGA.

Output
- Formation energy: 0.23 eV per formula unit
- Total DFT energy (no corrections): -0.68757 Ry/atom

```
data_Pa2TaIr5Ru
_cell_length_a 7.1830
_cell_length_b 7.1830
_cell_length_c 13.0848
_cell_angle_alpha 90.00
_cell_angle_beta 90.00
_cell_angle_gamma 90.00
_symmetry_space_group_name_H-M 'I 4/m c m'
_symmetry_Int_Tables_number 140
_symmetry_space_group_name_Hall '-I 4 2c'
loop_
_atom_site_label
_atom_site_type_symbol
_atom_site_fract_x
_atom_site_fract_y
_atom_site_fract_z
Pa1 Pa 0.1390 0.3610 0.0000
Ta1 Ta 0.0000 0.0000 0.2500
Ir1 Ir 0.0000 0.0000 0.0000
Ir2 Ir 0.2054 0.2946 0.3469
Ru1 Ru 0.0000 0.5000 0.2500
```

No. 8
Here is Dy2Tm3PuSe6 after structural relaxation from the Alexandria database. Energies are from PBE-GGA.

Output
- Formation energy (no corrections): -1.6921 eV/atom
- Total DFT energy (no corrections): -0.47874 Ry/atom

```
data_Dy2Tm3PuSe6
_cell_length_a 17.7054
_cell_length_b 4.0300
_cell_length_c 8.1545
_cell_angle_alpha 90.00
_cell_angle_beta 103.59
_cell_angle_gamma 90.00
_symmetry_space_group_name_H-M 'C 1 2/m 1'
_symmetry_Int_Tables_number 12
_symmetry_space_group_name_Hall '-C 2y'
loop_
_atom_site_label
_atom_site_type_symbol
_atom_site_fract_x
_atom_site_fract_y
_atom_site_fract_z
Dy1 Dy 0.1637 0.0000 0.3288
Tm1 Tm 0.0000 0.5000 0.5000
Tm2 Tm 0.1650 0.0000 0.8355
Pu1 Pu 0.0000 0.5000 0.0000
Se1 Se 0.0016 0.0000 0.7433
Se2 Se 0.1668 0.5000 0.5867
Se3 Se 0.1701 0.5000 0.0819
```